Computed, not measured: NiOs2Br after structural relaxation at the GGA-PBEsol level of DFT.

```
data_NiOs2Br
_chemical_formula_sum 'Ni1 Os2 Br1'
_cell_length_a 2.8458
_cell_length_b 3.5207
_cell_length_c 6.1078
_cell_angle_alpha 90.00
_cell_angle_beta 90.00
_cell_angle_gamma 90.00
_symmetry_space_group_name_H-M 'P m m 2'
_symmetry_Int_Tables_number 25
_symmetry_space_group_name_Hall 'P 2 -2'
loop_
_atom_site_label
_atom_site_fract_x
_atom_site_fract_y
_atom_site_fract_z
Ni1 0.0000 0.0000 0.0000
Os1 0.0000 0.0000 0.4161
Os2 0.5000 0.5000 0.2208
Br1 0.5000 0.5000 0.7796
```

Formation energy (no corrections) (eV per atom): 0.789
Energy above the lowest structure with this stoichiometry (kJ/mol of formula units): 59

=====

Computed, not measured: SiAu5 after structural relaxation at the GGA-PBEsol level of DFT.

```
data_SiAu5
_chemical_formula_sum 'Si2 Au10'
_cell_length_a 10.1146
_cell_length_b 2.8680
_cell_length_c 7.1098
_cell_angle_alpha 90.00
_cell_angle_beta 102.61
_cell_angle_gamma 90.00
_symmetry_space_group_name_H-M 'C 1 m 1'
_symmetry_Int_Tables_number 8
_symmetry_space_group_name_Hall 'C -2y'
loop_
_atom_site_label
_atom_site_fract_x
_atom_site_fract_y
_atom_site_fract_z
Si1 0.0000 0.0000 0.0000
Au1 0.0621 0.5000 0.7346
Au2 0.1524 0.5000 0.2587
Au3 0.2727 0.0000 0.5998
Au4 0.2951 0.0000 0.0030
Au5 0.4395 0.5000 0.3811
```

Formation energy (no corrections) (eV per atom): 0.026

=====

Computed, not measured: BaH4O3 after structural relaxation at the GGA-PBEsol level of DFT.

```
data_BaH4O3
_chemical_formula_sum 'Ba2 H8 O6'
_cell_length_a 3.9058
_cell_length_b 6.2109
_cell_length_c 6.8254
_cell_angle_alpha 90.00
_cell_angle_beta 90.00
_cell_angle_gamma 90.00
_symmetry_space_group_name_H-M 'P m c 21'
_symmetry_Int_Tables_number 26
_symmetry_space_group_name_Hall 'P 2c -2'
loop_
_atom_site_label
_atom_site_fract_x
_atom_site_fract_y
_atom_site_fract_z
Ba1 0.0000 0.1446 0.0000
H1 0.2055 0.3773 0.5562
H2 0.5000 0.2013 0.3595
H3 0.5000 0.4850 0.8296
O1 0.0000 0.2956 0.6138
O2 0.5000 0.0664 0.2841
O3 0.5000 0.4765 0.9729
```

Energy above the lowest structure with this stoichiometry (kJ/mol of formula units): 0

=====

Computed, not measured: SbMoCl3 after structural relaxation at the GGA-PBEsol level of DFT.

```
data_SbMoCl3
_chemical_formula_sum 'Sb1 Mo1 Cl3'
_cell_length_a 4.7775
_cell_length_b 4.7775
_cell_length_c 4.7775
_cell_angle_alpha 90.00
_cell_angle_beta 90.00
_cell_angle_gamma 90.00
_symmetry_space_group_name_H-M 'P m -3 m'
_symmetry_Int_Tables_number 221
_symmetry_space_group_name_Hall '-P 4 2 3'
loop_
_atom_site_label
_atom_site_fract_x
_atom_site_fract_y
_atom_site_fract_z
Sb1 0.0000 0.0000 0.0000
Mo1 0.5000 0.5000 0.5000
Cl1 0.0000 0.5000 0.5000
```

Formation energy (no corrections) (eV per atom): 0.130

=====

Computed, not measured: SrCo3C after structural relaxation at the GGA-PBEsol level of DFT.

```
data_SrCo3C
_chemical_formula_sum 'Sr1 Co3 C1'
_cell_length_a 4.5411
_cell_length_b 4.5411
_cell_length_c 4.5411
_cell_angle_alpha 90.00
_cell_angle_beta 90.00
_cell_angle_gamma 90.00
_symmetry_space_group_name_H-M 'P m -3 m'
_symmetry_Int_Tables_number 221
_symmetry_space_group_name_Hall '-P 4 2 3'
loop_
_atom_site_label
_atom_site_fract_x
_atom_site_fract_y
_atom_site_fract_z
Sr1 0.0000 0.0000 0.0000
Co1 0.0000 0.0000 0.5000
C1 0.5000 0.5000 0.5000
```

Energy above the lowest structure with this stoichiometry (kJ/mol of formula units): 1584

=====

Computed, not measured: K2Ag3Sb3S7 after structural relaxation at the GGA-PBEsol level of DFT.

```
data_K2Ag3Sb3S7
_chemical_formula_sum 'K8 Ag12 Sb12 S28'
_cell_length_a 24.3967
_cell_length_b 8.9815
_cell_length_c 6.7156
_cell_angle_alpha 90.00
_cell_angle_beta 90.00
_cell_angle_gamma 90.00
_symmetry_space_group_name_H-M 'C m c 21'
_symmetry_Int_Tables_number 36
_symmetry_space_group_name_Hall 'C 2c -2'
loop_
_atom_site_label
_atom_site_fract_x
_atom_site_fract_y
_atom_site_fract_z
K1 0.2070 0.1918 0.0000
Ag1 0.0000 0.1562 0.3204
Ag2 0.0897 0.0061 0.5709
Sb1 0.0000 0.3542 0.8753
Sb2 0.1249 0.3905 0.4921
S1 0.0000 0.1238 0.6780
S2 0.0754 0.2689 0.0898
S3 0.1700 0.1500 0.4847
S4 0.1885 0.4894 0.7561
```

Formation energy (no corrections) (eV per atom): -0.445

=====

Computed, not measured: AlB3As after structural relaxation at the GGA-PBEsol level of DFT.

```
data_AlB3As
_chemical_formula_sum 'Al1 B3 As1'
_cell_length_a 4.1308
_cell_length_b 4.1308
_cell_length_c 4.1308
_cell_angle_alpha 90.00
_cell_angle_beta 90.00
_cell_angle_gamma 90.00
_symmetry_space_group_name_H-M 'P m -3 m'
_symmetry_Int_Tables_number 221
_symmetry_space_group_name_Hall '-P 4 2 3'
loop_
_atom_site_label
_atom_site_fract_x
_atom_site_fract_y
_atom_site_fract_z
Al1 0.0000 0.0000 0.0000
B1 0.0000 0.0000 0.5000
As1 0.5000 0.5000 0.5000
```

=====

Computed, not measured: YSbP2 after structural relaxation at the GGA-PBEsol level of DFT.

```
data_YSbP2
_chemical_formula_sum 'Y2 Sb2 P4'
_cell_length_a 4.1316
_cell_length_b 5.3994
_cell_length_c 7.4638
_cell_angle_alpha 90.00
_cell_angle_beta 90.00
_cell_angle_gamma 90.00
_symmetry_space_group_name_H-M 'C m m m'
_symmetry_Int_Tables_number 65
_symmetry_space_group_name_Hall '-C 2 2'
loop_
_atom_site_label
_atom_site_fract_x
_atom_site_fract_y
_atom_site_fract_z
Y1 0.0000 0.0000 0.0000
Sb1 0.0000 0.0000 0.5000
P1 0.0000 0.5000 0.2371
```

Formation energy (no corrections) (eV per atom): -0.323

=====

Computed, not measured: Re2PtCl after structural relaxation at the GGA-PBEsol level of DFT.

```
data_Re2PtCl
_chemical_formula_sum 'Re2 Pt1 Cl1'
_cell_length_a 2.7928
_cell_length_b 4.0808
_cell_length_c 5.3886
_cell_angle_alpha 90.00
_cell_angle_beta 103.17
_cell_angle_gamma 90.00
_symmetry_space_group_name_H-M 'P 1 m 1'
_symmetry_Int_Tables_number 6
_symmetry_space_group_name_Hall 'P -2y'
loop_
_atom_site_label
_atom_site_fract_x
_atom_site_fract_y
_atom_site_fract_z
Re1 0.0000 0.0000 0.0000
Re2 0.3716 0.5000 0.7803
Pt1 0.7611 0.0000 0.5025
Cl1 0.3184 0.5000 0.2068
```

Formation energy (no corrections) (eV per atom): 0.558
Energy above the lowest structure with this stoichiometry (kJ/mol of formula units): 28

=====

Computed, not measured: VPd3 after structural relaxation at the GGA-PBEsol level of DFT.

```
data_VPd3
_chemical_formula_sum 'V1 Pd3'
_cell_length_a 3.8319
_cell_length_b 3.8319
_cell_length_c 3.8319
_cell_angle_alpha 90.00
_cell_angle_beta 90.00
_cell_angle_gamma 90.00
_symmetry_space_group_name_H-M 'P m -3 m'
_symmetry_Int_Tables_number 221
_symmetry_space_group_name_Hall '-P 4 2 3'
loop_
_atom_site_label
_atom_site_fract_x
_atom_site_fract_y
_atom_site_fract_z
V1 0.0000 0.0000 0.0000
Pd1 0.0000 0.5000 0.5000
```

=====

Computed, not measured: ReAg3Mo after structural relaxation at the GGA-PBEsol level of DFT.

```
data_ReAg3Mo
_chemical_formula_sum 'Re1 Ag3 Mo1'
_cell_length_a 4.8542
_cell_length_b 4.8542
_cell_length_c 4.8542
_cell_angle_alpha 90.00
_cell_angle_beta 90.00
_cell_angle_gamma 90.00
_symmetry_space_group_name_H-M 'P m -3 m'
_symmetry_Int_Tables_number 221
_symmetry_space_group_name_Hall '-P 4 2 3'
loop_
_atom_site_label
_atom_site_fract_x
_atom_site_fract_y
_atom_site_fract_z
Re1 0.0000 0.0000 0.0000
Ag1 0.0000 0.5000 0.5000
Mo1 0.5000 0.5000 0.5000
```

=====

Computed, not measured: Zr2SbTe after structural relaxation at the GGA-PBEsol level of DFT.

```
data_Zr2SbTe
_chemical_formula_sum 'Zr6 Sb3 Te3'
_cell_length_a 4.1459
_cell_length_b 4.1459
_cell_length_c 19.8652
_cell_angle_alpha 90.00
_cell_angle_beta 90.00
_cell_angle_gamma 120.00
_symmetry_space_group_name_H-M 'R -3 m'
_symmetry_Int_Tables_number 166
_symmetry_space_group_name_Hall '-R 3 2"'
loop_
_atom_site_label
_atom_site_fract_x
_atom_site_fract_y
_atom_site_fract_z
Zr1 0.0000 0.0000 0.2400
Sb1 0.0000 0.0000 0.5000
Te1 0.0000 0.0000 0.0000
```

Formation energy (no corrections) (eV per atom): -0.597
Energy above the lowest structure with this stoichiometry (kJ/mol of formula units): 80

=====

Computed, not measured: TaCu2GeAs after structural relaxation at the GGA-PBEsol level of DFT.

```
data_TaCu2GeAs
_chemical_formula_sum 'Ta1 Cu2 Ge1 As1'
_cell_length_a 4.2703
_cell_length_b 4.2703
_cell_length_c 4.9501
_cell_angle_alpha 90.00
_cell_angle_beta 90.00
_cell_angle_gamma 90.00
_symmetry_space_group_name_H-M 'P 4/m m m'
_symmetry_Int_Tables_number 123
_symmetry_space_group_name_Hall '-P 4 2'
loop_
_atom_site_label
_atom_site_fract_x
_atom_site_fract_y
_atom_site_fract_z
Ta1 0.0000 0.0000 0.0000
Cu1 0.0000 0.5000 0.5000
Ge1 0.0000 0.0000 0.5000
As1 0.5000 0.5000 0.0000
```

=====

Computed, not measured: KLi2P after structural relaxation at the GGA-PBEsol level of DFT.

```
data_KLi2P
_chemical_formula_sum 'K3 Li6 P3'
_cell_length_a 4.3180
_cell_length_b 4.3180
_cell_length_c 17.1993
_cell_angle_alpha 90.00
_cell_angle_beta 90.00
_cell_angle_gamma 120.00
_symmetry_space_group_name_H-M 'R 3 m'
_symmetry_Int_Tables_number 160
_symmetry_space_group_name_Hall 'R 3 -2"'
loop_
_atom_site_label
_atom_site_fract_x
_atom_site_fract_y
_atom_site_fract_z
K1 0.0000 0.0000 0.0000
Li1 0.0000 0.0000 0.1719
Li2 0.0000 0.0000 0.4785
P1 0.0000 0.0000 0.8107
```

=====

| no. | calculated density (g/cm3) | magnetic moment (μB/atom) | total energy (eV per atom) |
| --- | --- | --- | --- |
| 1 | 14.09 | 0.000 | -7.326 |
| 2 | 16.71 | 0.000 | -4.202 |
| 3 | 3.80 | 0.000 | -5.430 |
| 4 | 4.93 | 0.340 | -4.340 |
| 5 | 4.90 | 0.835 | -3.352 |
| 6 | 4.48 | 0.000 | -4.216 |
| 7 | 3.16 | 0.000 | -4.163 |
| 8 | 5.44 | 0.000 | -6.063 |
| 9 | 16.74 | 0.000 | -8.350 |
| 10 | 10.93 | 0.300 | -7.127 |
| 11 | 8.79 | 0.690 | -4.329 |
| 12 | 7.27 | 0.000 | -7.163 |
| 13 | 8.38 | 0.000 | -5.475 |
| 14 | 1.51 | 0.000 | -3.237 |